Below is an optimized crystal structure of LuCdFeSn, with properties calculated at the GGA-PBE level.

```
LuCdFeSn
1.0
0.000 3.418 3.418
3.418 0.000 3.418
3.418 3.418 0.000
Lu Cd Fe Sn
1 1 1 1
direct
0.000 0.000 0.000
0.250 0.250 0.250
0.750 0.750 0.750
0.500 0.500 0.500
```

Results
Crystal system = cubic
Symmetry = F-43m (216)
VASP energy = -4.377 eV per atom

***

Below is an optimized crystal structure of LiPuOs, with properties calculated at the GGA-PBE level.

```
LiPuOs
1.0
0.000 3.079 3.079
3.079 0.000 3.079
3.079 3.079 0.000
Li Pu Os
1 1 1
direct
0.000 0.000 0.000
0.250 0.250 0.250
0.500 0.500 0.500
```

Results
Crystal system = cubic
Symmetry = F-43m (216)
VASP energy = -8.329 eV per atom

***

Below is an optimized crystal structure of Dy4BCl5, with properties calculated at the GGA-PBE level.

```
Dy4BCl5
1.0
8.619 -1.909 0.000
8.619 1.909 0.000
-1.830 0.000 7.648
Dy B Cl
4 1 5
direct
0.001 0.001 0.283
0.353 0.353 0.418
0.647 0.647 0.582
0.999 0.999 0.717
0.500 0.500 0.500
0.165 0.165 0.834
0.172 0.172 0.344
0.500 0.500 0.000
0.828 0.828 0.656
0.835 0.835 0.166
```

Results
Crystal system = monoclinic
Symmetry = C2/m (12)
VASP energy = -5.098 eV per atom

***

Below is an optimized crystal structure of Y3Ho3CoTe2, with properties calculated at the GGA-PBE level.

```
Y3Ho3CoTe2
1.0
8.330 0.000 0.000
-4.165 7.214 0.000
0.000 0.000 3.912
Y Ho Co Te
3 3 1 2
direct
0.000 0.237 0.000
0.237 0.000 0.000
0.763 0.763 0.000
0.000 0.601 0.500
0.399 0.399 0.500
0.601 0.000 0.500
0.000 0.000 0.500
0.333 0.667 0.000
0.667 0.333 0.000
```

Results
Crystal system = hexagonal
Symmetry = P-62m (189)
VASP energy = -5.822 eV per atom

***

Below is an optimized crystal structure of Lu2OsPt, with properties calculated at the GGA-PBE level.

```
Lu2OsPt
1.0
0.000 3.339 3.339
3.339 0.000 3.339
3.339 3.339 0.000
Lu Os Pt
2 1 1
direct
0.000 0.000 0.000
0.250 0.250 0.250
0.750 0.750 0.750
0.500 0.500 0.500
```

Results
Crystal system = cubic
Symmetry = F-43m (216)
Formation enthalpy at 0 K = -0.203 eV/atom
VASP energy = -6.785 eV per atom

***

Below is an optimized crystal structure of YAgSn, with properties calculated at the GGA-PBE level.

```
YAgSn
1.0
4.733 0.000 0.000
-2.366 4.099 0.000
0.000 0.000 7.380
Y Ag Sn
2 2 2
direct
0.000 0.000 0.000
0.000 0.000 0.500
0.333 0.667 0.307
0.667 0.333 0.807
0.333 0.667 0.720
0.667 0.333 0.220
```

Results
Crystal system = hexagonal
Symmetry = P6_3mc (186)
VASP energy = -5.046 eV per atom

***

Below is an optimized crystal structure of TmHf3Sb2C2, with properties calculated at the GGA-PBE level.

```
TmHf3Sb2C2
1.0
3.438 0.000 0.000
-1.719 2.978 0.000
0.000 0.000 14.211
Tm Hf Sb C
1 3 2 2
direct
0.000 0.000 0.000
0.000 0.000 0.335
0.667 0.333 0.502
0.667 0.333 0.822
0.000 0.000 0.661
0.667 0.333 0.174
0.333 0.667 0.418
0.333 0.667 0.902
```

Results
Crystal system = trigonal
Symmetry = P3m1 (156)
VASP energy = -8.360 eV per atom

***

Below is an optimized crystal structure of ZrAl, with properties calculated at the GGA-PBE level.

```
ZrAl
1.0
6.118 0.000 0.000
-3.059 5.298 0.000
0.000 0.000 4.904
Zr Al
4 4
direct
0.000 0.000 0.000
0.170 0.340 0.500
0.170 0.830 0.500
0.660 0.830 0.500
0.008 0.504 0.000
0.496 0.504 0.000
0.496 0.992 0.000
0.667 0.333 0.500
```

Results
Crystal system = hexagonal
Symmetry = P-6m2 (187)
VASP energy = -6.314 eV per atom